[1]
RbSm2Cu2Se4: optimized geometry, GGA-PBE.

a = 8.0480 Å, b = 8.0480 Å, c = 9.2686 Å
α = 114.35°, β = 114.35°, γ = 27.92°
Atoms (fractional coordinates):
Rb (0.0000, 0.0000, 0.0000)
Sm (0.1148, 0.1148, 0.5992)
Sm (0.8852, 0.8852, 0.4008)
Cu (0.3124, 0.3124, 0.5904)
Cu (0.6876, 0.6876, 0.4096)
Se (0.2297, 0.2297, 0.2801)
Se (0.4900, 0.4900, 0.6805)
Se (0.5100, 0.5100, 0.3195)
Se (0.7703, 0.7703, 0.7199)

Volume ... 28.3 Å³/atom
Total magnetization ... 0.00 μB per cell
SG ... C2/m
ΔE_f (raw) ... -1102.7 meV per atom



[2]
Rb2SmCu2Se4: optimized geometry, GGA-PBE.

a = 7.9433 Å, b = 7.9433 Å, c = 8.2511 Å
α = 108.04°, β = 108.04°, γ = 30.03°
Atoms (fractional coordinates):
Rb (0.1323, 0.1323, 0.0553)
Rb (0.8677, 0.8677, 0.9447)
Sm (0.0000, 0.0000, 0.5000)
Cu (0.3198, 0.3198, 0.5130)
Cu (0.6802, 0.6802, 0.4870)
Se (0.2032, 0.2032, 0.6673)
Se (0.4756, 0.4756, 0.7315)
Se (0.5244, 0.5244, 0.2685)
Se (0.7968, 0.7968, 0.3327)

Volume ... 27.4 Å³/atom
Total magnetization ... 0.00 μB per cell
SG ... C2/m
ΔE_f (raw) ... -1050.7 meV per atom



[3]
Rb2Cu2SnSe6: optimized geometry, GGA-PBE.

a = 7.2163 Å, b = 7.2163 Å, c = 8.5939 Å
α = 114.36°, β = 114.36°, γ = 61.37°
Atoms (fractional coordinates):
Rb (0.2231, 0.2231, 0.1736)
Rb (0.7769, 0.7769, 0.8264)
Cu (0.4094, 0.4094, 0.7129)
Cu (0.5906, 0.5906, 0.2871)
Sn (0.0000, 0.0000, 0.5000)
Se (0.2184, 0.7595, 0.2445)
Se (0.2405, 0.7816, 0.7555)
Se (0.2406, 0.2406, 0.7551)
Se (0.7594, 0.7594, 0.2449)
Se (0.7595, 0.2184, 0.2445)
Se (0.7816, 0.2405, 0.7555)

Volume ... 31.3 Å³/atom
Total magnetization ... 0.00 μB per cell
SG ... C2/m
ΔE_f (raw) ... -359.3 meV per atom



[4]
RbSrCuSe2: optimized geometry, GGA-PBE.

a = 9.1103 Å, b = 9.1103 Å, c = 5.3619 Å
α = 90.00°, β = 90.00°, γ = 124.83°
Atoms (fractional coordinates):
Rb (0.2500, 0.7500, 0.7627)
Rb (0.7500, 0.2500, 0.2373)
Sr (0.2500, 0.2500, 0.5000)
Sr (0.7500, 0.7500, 0.5000)
Cu (0.0000, 0.0000, 0.0000)
Cu (0.5000, 0.5000, 0.0000)
Se (0.1121, 0.8879, 0.2553)
Se (0.3879, 0.6121, 0.2553)
Se (0.6121, 0.3879, 0.7447)
Se (0.8879, 0.1121, 0.7447)

Volume ... 36.5 Å³/atom
Total magnetization ... 0.00 μB per cell
SG ... Cmme
ΔE_f (raw) ... -1119.5 meV per atom



[5]
Rb2TaCuSe4: optimized geometry, GGA-PBE.

a = 14.5016 Å, b = 12.9454 Å, c = 7.7179 Å
α = 85.16°, β = 62.81°, γ = 32.03°
Atoms (fractional coordinates):
Rb (0.0538, 0.0538, 0.6962)
Rb (0.3038, 0.3038, 0.9462)
Rb (0.6962, 0.6962, 0.0538)
Rb (0.9462, 0.9462, 0.3038)
Ta (0.1250, 0.1250, 0.1250)
Ta (0.8750, 0.8750, 0.8750)
Cu (0.3750, 0.3750, 0.3750)
Cu (0.6250, 0.6250, 0.6250)
Se (0.0347, 0.3256, 0.4112)
Se (0.2716, 0.5888, 0.6744)
Se (0.3256, 0.0347, 0.7284)
Se (0.4112, 0.7284, 0.0347)
Se (0.5888, 0.2716, 0.9653)
Se (0.6744, 0.9653, 0.2716)
Se (0.7284, 0.4112, 0.3256)
Se (0.9653, 0.6744, 0.5888)

Volume ... 32.7 Å³/atom
Total magnetization ... 0.00 μB per cell
SG ... Fddd
ΔE_f (raw) ... -977.5 meV per atom



[6]
Rb2TaCuSe4: optimized geometry, GGA-PBE.

a = 14.5220 Å, b = 12.9394 Å, c = 7.7518 Å
α = 85.25°, β = 62.62°, γ = 32.14°
Atoms (fractional coordinates):
Rb (0.0537, 0.0537, 0.6963)
Rb (0.3037, 0.3037, 0.9463)
Rb (0.6963, 0.6963, 0.0537)
Rb (0.9463, 0.9463, 0.3037)
Ta (0.3750, 0.3750, 0.3750)
Ta (0.6250, 0.6250, 0.6250)
Cu (0.1250, 0.1250, 0.1250)
Cu (0.8750, 0.8750, 0.8750)
Se (0.0229, 0.3370, 0.4233)
Se (0.2832, 0.5767, 0.6630)
Se (0.3370, 0.0229, 0.7168)
Se (0.4233, 0.7168, 0.0229)
Se (0.5767, 0.2832, 0.9771)
Se (0.6630, 0.9771, 0.2832)
Se (0.7168, 0.4233, 0.3370)
Se (0.9771, 0.6630, 0.5767)

Volume ... 32.7 Å³/atom
Total magnetization ... 0.00 μB per cell
SG ... Fddd
ΔE_f (raw) ... -969.5 meV per atom



[7]
RbTb2Cu2Se4: optimized geometry, GGA-PBE.

a = 7.9360 Å, b = 7.9360 Å, c = 9.2763 Å
α = 113.88°, β = 113.88°, γ = 27.87°
Atoms (fractional coordinates):
Rb (0.0000, 0.0000, 0.0000)
Tb (0.1139, 0.1139, 0.5969)
Tb (0.8861, 0.8861, 0.4031)
Cu (0.3118, 0.3118, 0.5889)
Cu (0.6882, 0.6882, 0.4111)
Se (0.2323, 0.2323, 0.2780)
Se (0.4908, 0.4908, 0.6789)
Se (0.5092, 0.5092, 0.3211)
Se (0.7677, 0.7677, 0.7220)

Volume ... 27.6 Å³/atom
Total magnetization ... 0.00 μB per cell
SG ... C2/m
ΔE_f (raw) ... -1092.7 meV per atom



[8]
RbTbCuSe2: optimized geometry, GGA-PBE.

a = 8.1122 Å, b = 4.6270 Å, c = 8.2312 Å
α = 90.00°, β = 98.23°, γ = 90.00°
Atoms (fractional coordinates):
Rb (0.0000, 0.1561, 0.2500)
Rb (0.0000, 0.8439, 0.7500)
Tb (0.5000, 0.4939, 0.7500)
Tb (0.5000, 0.5061, 0.2500)
Cu (0.5000, 0.0000, 0.0000)
Cu (0.5000, 0.0000, 0.5000)
Se (0.2733, 0.3324, 0.9696)
Se (0.2733, 0.6676, 0.4696)
Se (0.7267, 0.3324, 0.5304)
Se (0.7267, 0.6676, 0.0304)

Volume ... 30.6 Å³/atom
Total magnetization ... 0.00 μB per cell
SG ... P2/c
ΔE_f (raw) ... -1015.5 meV per atom



Which N(E_F) belongs to each record? In order, 0.93, 5.89, 5.45, 0.00, 0.00, 0.00, 1.21, 4.20 states/eV/cell.